VASP calculation (PBE) on an optimized crystal structure of PdRhC3.

POSCAR file:
```
PdRhC3
1.0
3.967 0.000 0.000
0.000 3.967 0.000
0.000 0.000 3.967
C Rh Pd
3 1 1
Direct
0.000 0.500 0.000
0.000 0.000 0.500
0.500 0.000 0.000
0.000 0.000 0.000
0.500 0.500 0.500
```

Values from the calculation:
Magnetization = 0.00 μB/cell
Energy = -5.7720 eV/atom
Excess energy over the best structure of this formula in the dataset = 0.000 eV/f.u.
E_form = 2.271 eV/atom